No. 1
## ZrAlZn (PBE-GGA)

Data for a relaxed structure of ZrAlZn.

abc: 5.9597 5.9597 5.9597
angles: 149.85 149.85 43.16
With the nearest neighbours (Å) after each atom.
Atoms (fractional coordinates):
Zr 0.0000 0.0000 0.0000  4 Zn 2.94, 4 Al 2.97, 4 Zr 3.10
Al 0.3195 0.3195 0.0000  4 Zn 2.70, 4 Zr 2.97
Zn 0.6774 0.6774 0.0000  4 Al 2.70, 4 Zr 2.94

Results
Raw total energy in eV/atom: -4.800
Calculated formation energy in eV/atom: -0.279
Space-group type: I4mm, No. 107

No. 2
## Tb3Dy2Al3 (PBE-GGA)

Data for a relaxed structure of Tb3Dy2Al3.

abc: 11.2699 11.2699 11.2699
angles: 161.21 153.50 32.69
With the nearest neighbours (Å) after each atom.
Atoms (fractional coordinates):
Tb 0.0000 0.0000 0.0000  8 Al 3.12-3.17
Tb 0.3801 0.8801 0.5000  6 Al 3.17-3.18, 2 Dy 3.52
Tb 0.6199 0.1199 0.5000  6 Al 3.17-3.18, 2 Dy 3.52
Dy 0.2302 0.2302 0.0000  2 Al 3.07, 4 Dy 3.29
Dy 0.7698 0.7698 0.0000  2 Al 3.07, 4 Dy 3.29
Al 0.1165 0.6165 0.5000  2 Dy 3.07, 6 Tb 3.12-3.17
Al 0.5000 0.5000 0.0000  8 Tb 3.17-3.18
Al 0.8835 0.3835 0.5000  2 Dy 3.07, 6 Tb 3.12-3.17

Results
Polymorph energy (0 for the lowest one) in eV/atom: 0.0000
Raw total energy in eV/atom: -4.587
Calculated formation energy in eV/atom: -0.297
Space-group type: Immm, No. 71

No. 3
## GaAgSO5 (PBE-GGA)

Data for a relaxed structure of GaAgSO5.

abc: 5.6988 5.6988 6.7927
angles: 104.50 104.50 102.98
With the nearest neighbours (Å) after each atom.
Atoms (fractional coordinates):
Ga 0.0000 0.0000 0.0000  2 O 1.81
Ga 0.0000 0.0000 0.5000  2 O 1.81
Ag 0.3315 0.6685 0.7500  5 O 2.32-2.58
Ag 0.6685 0.3315 0.2500  5 O 2.32-2.58
S 0.3194 0.6806 0.2500  4 O 1.49-1.50
S 0.6806 0.3194 0.7500  4 O 1.49-1.50
O 0.0713 0.9287 0.7500  2 Ga 1.81
O 0.1337 0.6908 0.3726  1 S 1.50
O 0.2521 0.4180 0.0981  1 S 1.49
O 0.3092 0.8663 0.1274  1 S 1.50
O 0.4180 0.2521 0.5981  1 S 1.49
O 0.5820 0.7479 0.4019  1 S 1.49
O 0.6908 0.1337 0.8726  1 S 1.50
O 0.7479 0.5820 0.9019  1 S 1.49
O 0.8663 0.3092 0.6274  1 S 1.50
O 0.9287 0.0713 0.2500  2 Ga 1.81

Results
Raw total energy in eV/atom: -5.543
Formation energy from raw total energies in eV per atom: -1.19
Space-group type: C2/c, No. 15

No. 4
## ThPaBi (PBE-GGA)

Data for a relaxed structure of ThPaBi.

abc: 3.3557 5.5497 9.7379
angles: 90.00 90.00 90.00
With the nearest neighbours (Å) after each atom.
Atoms (fractional coordinates):
Th 0.2500 0.2500 0.2176  5 Bi 3.33-3.48, 2 Th 3.36, 4 Pa 3.53-3.67
Th 0.7500 0.7500 0.7824  5 Bi 3.33-3.48, 2 Th 3.36, 4 Pa 3.53-3.67
Pa 0.2500 0.7500 0.4639  6 Pa 3.32-3.36, 4 Th 3.53-3.67, 2 Bi 3.58
Pa 0.7500 0.2500 0.5361  6 Pa 3.32-3.36, 4 Th 3.53-3.67, 2 Bi 3.58
Bi 0.2500 0.2500 0.8604  5 Th 3.33-3.48, 2 Bi 3.36, 2 Pa 3.58
Bi 0.7500 0.7500 0.1396  5 Th 3.33-3.48, 2 Bi 3.36, 2 Pa 3.58

Results
Polymorph energy (0 for the lowest one) in eV/atom: 0.0000
Raw total energy in eV/atom: -6.992
Calculated formation energy in eV/atom: -0.060
Space-group type: Pmmn, No. 59

No. 5
## ZrSi2MoOs (PBE-GGA)

Data for a relaxed structure of ZrSi2MoOs.

abc: 4.5444 4.5444 4.8398
angles: 90.00 90.00 90.00
With the nearest neighbours (Å) after each atom.
Atoms (fractional coordinates):
Zr 0.0000 0.0000 0.0000  4 Os 3.21, 8 Si 3.32
Si 0.0000 0.5000 0.5000  2 Mo 2.27
Si 0.5000 0.0000 0.5000  2 Mo 2.27
Mo 0.5000 0.5000 0.5000  4 Si 2.27, 2 Os 2.42
Os 0.5000 0.5000 0.0000  2 Mo 2.42

Results
Raw total energy in eV/atom: -7.463
Formation energy from raw total energies in eV per atom: 0.83
Space-group type: P4/mmm, No. 123

No. 6
## MoPbCl2 (PBE-GGA)

Data for a relaxed structure of MoPbCl2.

abc: 6.9879 6.9879 6.9879
angles: 123.82 123.82 83.50
With the nearest neighbours (Å) after each atom.
Atoms (fractional coordinates):
Mo 0.0000 0.0000 0.0000  4 Cl 2.33
Mo 0.7500 0.2500 0.5000  4 Cl 2.33
Pb 0.2500 0.7500 0.5000  4 Cl 3.10
Pb 0.5000 0.5000 0.0000  4 Cl 3.10
Cl 0.0274 0.6250 0.9024  2 Mo 2.33
Cl 0.3750 0.2774 0.4024  2 Mo 2.33
Cl 0.7226 0.1250 0.0976  2 Mo 2.33
Cl 0.8750 0.9726 0.5976  2 Mo 2.33

Results
Polymorph energy (0 for the lowest one) in eV/atom: 0.6477
Raw total energy in eV/atom: -4.125
Formation energy from raw total energies in eV per atom: 0.43
Space-group type: I-42d, No. 122

No. 7
## AcYCo2 (PBE-GGA)

Data for a relaxed structure of AcYCo2.

abc: 3.5125 3.5125 6.9905
angles: 90.00 90.00 90.00
With the nearest neighbours (Å) after each atom.
Atoms (fractional coordinates):
Ac 0.0000 0.0000 0.0000  8 Co 3.13, 2 Y 3.50
Y 0.0000 0.0000 0.5000  8 Co 2.95
Co 0.5000 0.5000 0.2727  4 Y 2.95, 4 Ac 3.13, 1 Co 3.18
Co 0.5000 0.5000 0.7273  4 Y 2.95, 4 Ac 3.13, 1 Co 3.18

Results
Raw total energy in eV/atom: -6.109
Calculated formation energy in eV/atom: 0.087
Space-group type: P4/mmm, No. 123

No. 8
## AgAsW2 (PBE-GGA)

Data for a relaxed structure of AgAsW2.

abc: 2.8217 4.4527 5.3832
angles: 90.00 97.51 90.00
With the nearest neighbours (Å) after each atom.
Atoms (fractional coordinates):
Ag 0.0000 0.0000 0.0000  7 W 2.78-3.08, 4 As 2.81-2.94, 2 Ag 2.82
As 0.5066 0.5000 0.2128  4 W 2.64-2.77, 4 Ag 2.81-2.94, 2 As 2.82
W 0.3991 0.5000 0.7175  2 As 2.64-2.77, 4 W 2.67-2.82
W 0.6438 0.0000 0.4928  4 W 2.67-2.82, 2 As 2.69, 2 Ag 2.78-2.96

Results
Raw total energy in eV/atom: -7.825
Calculated formation energy in eV/atom: 0.527
Space-group type: Pm, No. 6

No. 9
## Hg2PbSe (PBE-GGA)

Data for a relaxed structure of Hg2PbSe.

abc: 3.8226 3.8226 7.8991
angles: 90.00 90.00 108.23
With the nearest neighbours (Å) after each atom.
Atoms (fractional coordinates):
Hg 0.0000 0.0000 0.2215  2 Se 2.84, 2 Pb 3.14
Hg 0.0000 0.0000 0.7785  2 Se 2.84, 2 Pb 3.14
Pb 0.5000 0.5000 0.5000  4 Hg 3.14
Se 0.5000 0.5000 0.0000  4 Hg 2.84

Results
Raw total energy in eV/atom: -1.902
Formation energy from raw total energies in eV per atom: 0.05
Space-group type: Cmmm, No. 65

No. 10
## YCrIr2 (PBE-GGA)

Data for a relaxed structure of YCrIr2.

abc: 5.0060 5.0060 4.9935
angles: 100.93 100.93 34.85
With the nearest neighbours (Å) after each atom.
Atoms (fractional coordinates):
Y 0.0000 0.0000 0.0000  7 Ir 2.87-2.95, 2 Y 3.00, 1 Cr 3.01
Cr 0.2230 0.2230 0.6501  5 Ir 2.53-2.82
Ir 0.4939 0.4939 0.5074  3 Cr 2.63-2.82, 2 Ir 2.81, 2 Y 2.87
Ir 0.7543 0.7543 0.2575  2 Cr 2.53, 2 Ir 2.81

Results
Polymorph energy (0 for the lowest one) in eV/atom: 0.1835
Raw total energy in eV/atom: -8.555
Calculated formation energy in eV/atom: -0.103
Space-group type: Cm, No. 8

No. 11
## ZrMo2 (PBE-GGA)

Data for a relaxed structure of ZrMo2.

abc: 5.2933 5.2933 5.2933
angles: 111.10 111.10 106.26
With the nearest neighbours (Å) after each atom.
Atoms (fractional coordinates):
Zr 0.2500 0.2500 0.0000  8 Mo 2.75
Zr 0.7500 0.7500 0.0000  8 Mo 2.75
Mo 0.1620 0.6620 0.8241  1 Mo 2.74, 4 Zr 2.75
Mo 0.3380 0.1620 0.5000  1 Mo 2.74, 4 Zr 2.75
Mo 0.6620 0.8380 0.5000  1 Mo 2.74, 4 Zr 2.75
Mo 0.8380 0.3380 0.1759  1 Mo 2.74, 4 Zr 2.75

Results
Polymorph energy (0 for the lowest one) in eV/atom: 1.0102
Raw total energy in eV/atom: -9.209
Calculated formation energy in eV/atom: 0.861
Space-group type: I4/mcm, No. 140

No. 12
## Cu2HIr (PBE-GGA)

Data for a relaxed structure of Cu2HIr.

abc: 4.8184 4.8184 4.8184
angles: 109.94 109.94 108.53
With the nearest neighbours (Å) after each atom.
Atoms (fractional coordinates):
Cu 0.0033 0.1250 0.3783  2 H 1.71
Cu 0.3750 0.9967 0.1217  2 H 1.71
Cu 0.7467 0.6250 0.6217  2 H 1.71
Cu 0.8750 0.2533 0.8783  2 H 1.71
H 0.0000 0.0000 0.0000  4 Cu 1.71
H 0.7500 0.2500 0.5000  4 Cu 1.71
Ir 0.2500 0.7500 0.5000  8 Cu 2.58-2.62, 2 H 2.81
Ir 0.5000 0.5000 0.0000  8 Cu 2.58-2.62, 2 H 2.81

Results
Polymorph energy (0 for the lowest one) in eV/atom: 0.0000
Raw total energy in eV/atom: -4.685
Space-group type: I-42d, No. 122

No. 13
## Cs2MnCl6 (PBE-GGA)

Data for a relaxed structure of Cs2MnCl6.

abc: 7.4208 7.4208 7.4208
angles: 60.00 60.00 60.00
With the nearest neighbours (Å) after each atom.
Atoms (fractional coordinates):
Cs 0.2500 0.2500 0.2500  12 Cl 3.72
Cs 0.7500 0.7500 0.7500  12 Cl 3.72
Mn 0.0000 0.0000 0.0000  6 Cl 2.30
Cl 0.2189 0.2189 0.7811  1 Mn 2.30
Cl 0.2189 0.7811 0.2189  1 Mn 2.30
Cl 0.2189 0.7811 0.7811  1 Mn 2.30
Cl 0.7811 0.2189 0.2189  1 Mn 2.30
Cl 0.7811 0.2189 0.7811  1 Mn 2.30
Cl 0.7811 0.7811 0.2189  1 Mn 2.30

Results
Raw total energy in eV/atom: -3.898
Formation energy from raw total energies in eV per atom: -1.46
Space-group type: Fm-3m, No. 225

No. 14
## V2TeCl (PBE-GGA)

Data for a relaxed structure of V2TeCl.

abc: 8.0016 8.0016 8.0016
angles: 141.21 141.21 56.02
With the nearest neighbours (Å) after each atom.
Atoms (fractional coordinates):
V 0.0627 0.6250 0.9377  2 Cl 2.42
V 0.3750 0.3127 0.4377  2 Cl 2.42
V 0.6873 0.1250 0.0623  2 Cl 2.42
V 0.8750 0.9373 0.5623  2 Cl 2.42
Te 0.2500 0.7500 0.5000  4 V 2.76
Te 0.5000 0.5000 0.0000  4 V 2.76
Cl 0.0000 0.0000 0.0000  4 V 2.42
Cl 0.7500 0.2500 0.5000  4 V 2.42

Results
Polymorph energy (0 for the lowest one) in eV/atom: 0.0000
Raw total energy in eV/atom: -5.722
Formation energy from raw total energies in eV per atom: 0.08
Space-group type: I-42d, No. 122

No. 15
## SbMo (PBE-GGA)

Data for a relaxed structure of SbMo.

abc: 5.8018 5.8018 5.8018
angles: 146.84 134.04 57.84
With the nearest neighbours (Å) after each atom.
Atoms (fractional coordinates):
Sb 0.3591 0.1091 0.2500  6 Mo 2.81-2.91
Sb 0.6409 0.8909 0.7500  6 Mo 2.81-2.91
Mo 0.1241 0.3741 0.7500  6 Sb 2.81-2.91, 2 Mo 3.01
Mo 0.8759 0.6259 0.2500  6 Sb 2.81-2.91, 2 Mo 3.01

Results
Raw total energy in eV/atom: -7.071
Formation energy from raw total energies in eV per atom: 0.41
Space-group type: Imma, No. 74

No. 16
## CdBP (PBE-GGA)

Data for a relaxed structure of CdBP.

abc: 3.2131 3.7306 8.7793
angles: 92.48 91.14 104.82
With the nearest neighbours (Å) after each atom.
Atoms (fractional coordinates):
Cd 0.2169 0.4164 0.3657  2 P 2.63-2.82, 2 Cd 2.89
Cd 0.7831 0.5836 0.6343  2 P 2.63-2.82, 2 Cd 2.89
B 0.4030 0.2733 0.9672  1 B 1.72
B 0.5970 0.7267 0.0328  1 B 1.72
P 0.1574 0.9177 0.1402  3 B 1.96-2.09
P 0.8426 0.0823 0.8598  3 B 1.96-2.09

Results
Polymorph energy (0 for the lowest one) in eV/atom: 0.1989
Raw total energy in eV/atom: -4.254
Calculated formation energy in eV/atom: 0.080
Space-group type: P-1, No. 2

No. 17
## Hf2ZnGe2 (PBE-GGA)

Data for a relaxed structure of Hf2ZnGe2.

abc: 6.8737 6.8737 3.8202
angles: 90.00 90.00 90.00
With the nearest neighbours (Å) after each atom.
Atoms (fractional coordinates):
Hf 0.1647 0.3353 0.0000  6 Ge 2.70-2.83
Hf 0.3353 0.8353 0.0000  6 Ge 2.70-2.83
Hf 0.6647 0.1647 0.0000  6 Ge 2.70-2.83
Hf 0.8353 0.6647 0.0000  6 Ge 2.70-2.83
Zn 0.0000 0.0000 0.5000  4 Ge 2.66
Zn 0.5000 0.5000 0.5000  4 Ge 2.66
Ge 0.1387 0.6387 0.5000  2 Zn 2.66, 1 Ge 2.70, 6 Hf 2.70-2.83
Ge 0.3613 0.1387 0.5000  2 Zn 2.66, 1 Ge 2.70, 6 Hf 2.70-2.83
Ge 0.6387 0.8613 0.5000  2 Zn 2.66, 1 Ge 2.70, 6 Hf 2.70-2.83
Ge 0.8613 0.3613 0.5000  2 Zn 2.66, 1 Ge 2.70, 6 Hf 2.70-2.83

Results
Raw total energy in eV/atom: -6.461
Calculated formation energy in eV/atom: -0.378
Space-group type: P4/mbm, No. 127

No. 18
## Sr2Zn3In4Hg (PBE-GGA)

Data for a relaxed structure of Sr2Zn3In4Hg.

abc: 4.7050 4.7050 11.6195
angles: 90.00 90.00 90.00
With the nearest neighbours (Å) after each atom.
Atoms (fractional coordinates):
Sr 0.0000 0.5000 0.2495  8 In 3.57-3.74, 6 Zn 3.60-3.73, 2 Hg 3.73
Sr 0.5000 0.0000 0.7505  8 In 3.57-3.74, 6 Zn 3.60-3.73, 2 Hg 3.73
Zn 0.0000 0.0000 0.0000  4 In 2.85
Zn 0.0000 0.5000 0.6330  5 In 2.65-2.81
Zn 0.5000 0.0000 0.3670  5 In 2.65-2.81
In 0.0000 0.0000 0.5000  4 Zn 2.81
In 0.0000 0.5000 0.8612  3 Zn 2.65-2.85, 2 Hg 2.85
In 0.5000 0.0000 0.1388  3 Zn 2.65-2.85, 2 Hg 2.85
In 0.5000 0.5000 0.5000  4 Zn 2.81
Hg 0.5000 0.5000 0.0000  4 In 2.85

Results
Raw total energy in eV/atom: -2.116
Calculated formation energy in eV/atom: -0.272
Space-group type: P-4m2, No. 115

No. 19
## PmZr2Ga4 (PBE-GGA)

Data for a relaxed structure of PmZr2Ga4.

abc: 9.3694 9.3694 9.3694
angles: 155.31 155.12 35.34
With the nearest neighbours (Å) after each atom.
Atoms (fractional coordinates):
Pm 0.0000 0.0000 0.0000  12 Ga 3.11-3.42
Zr 0.1885 0.6885 0.5000  7 Ga 2.80-2.92
Zr 0.8115 0.3115 0.5000  7 Ga 2.80-2.92
Ga 0.3451 0.8451 0.5000  2 Ga 2.50, 1 Zr 2.80
Ga 0.4293 0.4293 0.0000  3 Ga 2.50-2.52
Ga 0.5707 0.5707 0.0000  3 Ga 2.50-2.52
Ga 0.6549 0.1549 0.5000  2 Ga 2.50, 1 Zr 2.80

Results
Raw total energy in eV/atom: -5.465
Calculated formation energy in eV/atom: -0.615
Space-group type: Immm, No. 71

No. 20
## MnBeSe2 (PBE-GGA)

Data for a relaxed structure of MnBeSe2.

abc: 6.6022 6.6022 5.9303
angles: 110.76 110.76 103.51
With the nearest neighbours (Å) after each atom.
Atoms (fractional coordinates):
Mn 0.2164 0.7836 0.7500  4 Se 2.54-2.56
Mn 0.7836 0.2164 0.2500  4 Se 2.54-2.56
Be 0.4984 0.5016 0.2500  4 Se 2.26
Be 0.5016 0.4984 0.7500  4 Se 2.26
Se 0.2051 0.4388 0.3615  2 Be 2.26
Se 0.4388 0.2051 0.8615  2 Be 2.26
Se 0.5612 0.7949 0.1385  2 Be 2.26
Se 0.7949 0.5612 0.6385  2 Be 2.26

Results
Raw total energy in eV/atom: -5.417
Formation energy from raw total energies in eV per atom: -0.45
Space-group type: C2/c, No. 15